Entry 1:
First-principles (PBE) data for an optimized crystal structure of Tb2Pr3ThS6, as listed in Alexandria via LeMat-Bulk.

a b c (Å): 6.9585 12.0945 7.0311
angles (deg): 90.00 109.52 90.00
Space group C2/m (No. 12)
Symmetry-distinct sites (fractional):
Tb1 0.0000 0.1668 0.0000 (multiplicity 4)
Pr1 0.0000 0.0000 0.5000 (multiplicity 2)
Pr2 0.0000 0.3338 0.5000 (multiplicity 4)
Th1 0.0000 0.5000 0.0000 (multiplicity 2)
S1 0.2403 0.0000 0.2367 (multiplicity 4)
S2 0.2483 0.3307 0.2373 (multiplicity 8)

Properties
Magnetic moment, μB per formula unit: 0.0
Formation energy without anion corrections, meV per atom: -1984

***

Entry 2:
First-principles (PBE) data for an optimized crystal structure of TbPrTh2S4, as listed in Alexandria via LeMat-Bulk.

a b c (Å): 6.9170 4.0306 7.0323
angles (deg): 90.00 109.32 90.00
Space group P2/m (No. 10)
Symmetry-distinct sites (fractional):
Tb1 0.0000 0.0000 0.0000 (multiplicity 1)
Pr1 0.5000 0.5000 0.0000 (multiplicity 1)
Th1 0.0000 0.5000 0.5000 (multiplicity 1)
Th2 0.5000 0.0000 0.5000 (multiplicity 1)
S1 0.2407 0.5000 0.2425 (multiplicity 2)
S2 0.2437 0.0000 0.7527 (multiplicity 2)

Properties
Magnetic moment, μB per formula unit: 0.0
Formation energy without anion corrections, meV per atom: -1909